Record 1
Compound: KCuTe2IrS
Source: the Open Quantum Materials Database
Functional: PBE
Structure: relaxed

Cell: 7.982 7.982 9.824 Å, 90.00 90.00 151.07°
Atoms (fractional coordinates):
Cu 0.520 0.480 0.250
Cu 0.480 0.520 0.750
Ir 0.000 0.000 0.000
Ir 0.000 0.000 0.500
K 0.256 0.744 0.250
K 0.744 0.256 0.750
S 0.943 0.057 0.250
S 0.057 0.943 0.750
Te 0.615 0.385 0.036
Te 0.615 0.385 0.464
Te 0.385 0.615 0.536
Te 0.385 0.615 0.964

Properties
- M_tot: 0.0 Bohr magnetons per cell
- Electronic total energy: -4.30 eV per atom

***

Record 2
Compound: PrNdSc
Source: the Open Quantum Materials Database
Functional: PBE
Structure: relaxed

Cell: 5.367 5.367 5.367 Å, 60.00 60.00 60.00°
Atoms (fractional coordinates):
Nd 0.250 0.250 0.250
Pr 0.750 0.750 0.750
Sc 0.000 0.000 0.000

Properties
- M_tot: 0.0 Bohr magnetons per cell
- DFT formation energy: 1.92 eV/f.u.
- Distance to the lowest polymorph of the same formula: 0.0 meV per atom
- Electronic total energy: -4.65 eV per atom

***

Record 3
Compound: AlIrPd2
Source: the Open Quantum Materials Database
Functional: PBE
Structure: relaxed

Cell: 4.370 4.370 4.370 Å, 60.00 60.00 60.00°
Atoms (fractional coordinates):
Al 0.500 0.500 0.500
Ir 0.250 0.250 0.250
Pd 0.000 0.000 0.000
Pd 0.750 0.750 0.750

Properties
- M_tot: 0.0 Bohr magnetons per cell
- Electronic total energy: -6.09 eV per atom

***

Record 4
Compound: ScZnFeBi
Source: the Open Quantum Materials Database
Functional: PBE
Structure: relaxed

Cell: 4.800 4.800 4.800 Å, 60.00 60.00 60.00°
Atoms (fractional coordinates):
Bi 0.000 0.000 0.000
Fe 0.500 0.500 0.500
Sc 0.750 0.750 0.750
Zn 0.250 0.250 0.250

Properties
- M_tot: 2.0 Bohr magnetons per cell
- Distance to the lowest polymorph of the same formula: 102.7 meV per atom
- Electronic total energy: -4.78 eV per atom

***

Record 5
Compound: SrCdP2Pb
Source: the Open Quantum Materials Database
Functional: PBE
Structure: relaxed

Cell: 8.435 8.435 7.505 Å, 90.00 90.00 150.07°
Atoms (fractional coordinates):
Cd 0.601 0.399 0.072
Cd 0.399 0.601 0.572
P 0.554 0.446 0.419
P 0.818 0.182 0.483
P 0.446 0.554 0.919
P 0.182 0.818 0.983
Pb 0.960 0.040 0.250
Pb 0.040 0.960 0.750
Sr 0.192 0.808 0.399
Sr 0.808 0.192 0.899

Properties
- Electronic total energy: -3.86 eV per atom

***

Record 6
Compound: Cu14Te
Source: the Open Quantum Materials Database
Functional: PBE
Structure: relaxed

Cell: 4.399 5.617 27.514 Å, 89.50 89.78 75.53°
Atoms (fractional coordinates):
Cu 0.708 0.101 0.262
Cu 0.145 0.312 0.280
Cu 0.574 0.537 0.294
Cu 0.007 0.741 0.314
Cu 0.432 0.961 0.334
Cu 0.853 0.184 0.350
Cu 0.287 0.396 0.368
Cu 0.718 0.609 0.385
Cu 0.140 0.827 0.403
Cu 0.570 0.038 0.420
Cu 0.000 0.252 0.438
Cu 0.429 0.468 0.455
Cu 0.856 0.679 0.474
Cu 0.287 0.893 0.492
Cu 0.713 0.107 0.508
Cu 0.144 0.321 0.526
Cu 0.571 0.532 0.545
Cu 0.000 0.748 0.562
Cu 0.430 0.962 0.580
Cu 0.860 0.173 0.597
Cu 0.282 0.391 0.615
Cu 0.713 0.604 0.632
Cu 0.147 0.816 0.650
Cu 0.568 0.039 0.666
Cu 0.993 0.259 0.686
Cu 0.426 0.463 0.706
Cu 0.855 0.688 0.720
Cu 0.292 0.899 0.738
Te 0.275 0.888 0.232
Te 0.725 0.112 0.768

Properties
- Distance to the lowest polymorph of the same formula: 0.0 meV per atom
- Electronic total energy: -3.64 eV per atom

***

Record 7
Compound: LuSiIr
Source: the Open Quantum Materials Database
Functional: PBE
Structure: relaxed

Cell: 4.233 4.233 6.967 Å, 90.00 90.00 120.00°
Atoms (fractional coordinates):
Ir 0.667 0.333 0.500
Ir 0.333 0.667 0.000
Lu 0.000 0.000 0.250
Lu 0.000 0.000 0.750
Si 0.667 0.333 0.000
Si 0.333 0.667 0.500

Properties
- M_tot: 0.0 Bohr magnetons per cell
- Electronic total energy: -7.23 eV per atom

***

Record 8
Compound: LiNi2Sb
Source: the Open Quantum Materials Database
Functional: PBE
Structure: relaxed

Cell: 4.218 4.218 7.577 Å, 90.00 90.00 120.00°
Atoms (fractional coordinates):
Li 0.333 0.667 0.250
Li 0.667 0.333 0.750
Ni 0.667 0.333 0.083
Ni 0.667 0.333 0.417
Ni 0.333 0.667 0.583
Ni 0.333 0.667 0.917
Sb 0.000 0.000 0.000
Sb 0.000 0.000 0.500

Properties
- M_tot: 0.0 Bohr magnetons per cell
- Electronic total energy: -4.51 eV per atom

***

Record 9
Compound: TbZnInNi
Source: the Open Quantum Materials Database
Functional: PBE
Structure: relaxed

Cell: 5.325 5.325 7.311 Å, 90.00 90.00 133.33°
Atoms (fractional coordinates):
In 0.358 0.642 0.446
In 0.642 0.358 0.946
Ni 0.781 0.219 0.250
Ni 0.219 0.781 0.750
Tb 0.066 0.934 0.252
Tb 0.934 0.066 0.752
Zn 0.350 0.650 0.053
Zn 0.650 0.350 0.553

Properties
- M_tot: 0.0 Bohr magnetons per cell
- Distance to the lowest polymorph of the same formula: 0.0 meV per atom
- Electronic total energy: -3.97 eV per atom

***

Record 10
Compound: TbYH2I4
Source: the Open Quantum Materials Database
Functional: PBE
Structure: relaxed

Cell: 4.007 4.007 16.619 Å, 90.00 90.00 120.00°
Atoms (fractional coordinates):
H 0.667 0.333 0.000
H 0.333 0.667 0.500
I 0.333 0.667 0.127
I 0.667 0.333 0.373
I 0.667 0.333 0.627
I 0.333 0.667 0.873
Tb 0.000 0.000 0.500
Y 0.000 0.000 0.000

Properties
- M_tot: 0.0 Bohr magnetons per cell
- Electronic total energy: -4.20 eV per atom

***

Record 11
Compound: KHf3Te5
Source: the Open Quantum Materials Database
Functional: PBE
Structure: relaxed

Cell: 6.328 6.328 8.519 Å, 90.00 90.00 120.00°
Atoms (fractional coordinates):
Hf 0.500 0.000 0.500
Hf 0.000 0.500 0.500
Hf 0.500 0.500 0.500
K 0.000 0.000 0.000
Te 0.667 0.333 0.237
Te 0.333 0.667 0.237
Te 0.000 0.000 0.500
Te 0.667 0.333 0.763
Te 0.333 0.667 0.763

Properties
- M_tot: 0.0 Bohr magnetons per cell
- Electronic total energy: -5.98 eV per atom

***

Record 12
Compound: YAgSnS3
Source: the Open Quantum Materials Database
Functional: PBE
Structure: relaxed

Cell: 7.455 4.009 9.708 Å, 90.00 105.32 90.00°
Atoms (fractional coordinates):
Ag 0.613 0.250 0.089
Ag 0.387 0.750 0.911
S 0.808 0.750 0.049
S 0.544 0.250 0.327
S 0.064 0.250 0.361
S 0.936 0.750 0.639
S 0.456 0.750 0.673
S 0.192 0.250 0.951
Sn 0.202 0.750 0.191
Sn 0.798 0.250 0.809
Y 0.793 0.750 0.350
Y 0.207 0.250 0.650

Properties
- M_tot: 0.0 Bohr magnetons per cell
- Distance to the lowest polymorph of the same formula: 42.4 meV per atom
- Electronic total energy: -5.23 eV per atom

***

Record 13
Compound: LuTlFeSe3
Source: the Open Quantum Materials Database
Functional: PBE
Structure: relaxed

Cell: 9.972 4.106 15.239 Å, 90.00 90.00 90.00°
Atoms (fractional coordinates):
Fe 0.160 0.750 0.130
Fe 0.660 0.750 0.370
Fe 0.340 0.250 0.630
Fe 0.840 0.250 0.870
Lu 0.834 0.750 0.058
Lu 0.334 0.750 0.442
Lu 0.666 0.250 0.558
Lu 0.166 0.250 0.942
Se 0.324 0.750 0.011
Se 0.022 0.250 0.107
Se 0.719 0.750 0.220
Se 0.219 0.750 0.280
Se 0.522 0.250 0.393
Se 0.824 0.750 0.489
Se 0.176 0.250 0.511
Se 0.478 0.750 0.607
Se 0.781 0.250 0.720
Se 0.281 0.250 0.780
Se 0.978 0.750 0.893
Se 0.676 0.250 0.989
Tl 0.468 0.250 0.176
Tl 0.968 0.250 0.324
Tl 0.032 0.750 0.676
Tl 0.532 0.750 0.824

Properties
- M_tot: 16.0 Bohr magnetons per cell
- Distance to the lowest polymorph of the same formula: 89.4 meV per atom
- Electronic total energy: -5.13 eV per atom

***

Record 14
Compound: ScCdCuSe3
Source: the Open Quantum Materials Database
Functional: PBE
Structure: relaxed

Cell: 6.745 6.745 10.295 Å, 90.00 90.00 147.18°
Atoms (fractional coordinates):
Cd 0.232 0.768 0.250
Cd 0.768 0.232 0.750
Cu 0.526 0.474 0.250
Cu 0.474 0.526 0.750
Sc 0.000 0.000 0.000
Sc 0.000 0.000 0.500
Se 0.640 0.360 0.064
Se 0.903 0.097 0.250
Se 0.640 0.360 0.436
Se 0.360 0.640 0.564
Se 0.097 0.903 0.750
Se 0.360 0.640 0.936

Properties
- M_tot: 0.0 Bohr magnetons per cell
- Distance to the lowest polymorph of the same formula: 21.9 meV per atom
- Electronic total energy: -4.40 eV per atom

***

Record 15
Compound: BaGd2Sc2O7
Source: the Open Quantum Materials Database
Functional: PBE
Structure: relaxed

Cell: 5.768 5.768 19.848 Å, 90.00 90.00 90.00°
Atoms (fractional coordinates):
Ba 0.261 0.261 0.000
Ba 0.739 0.739 0.000
Ba 0.761 0.239 0.500
Ba 0.239 0.761 0.500
Gd 0.281 0.281 0.186
Gd 0.719 0.719 0.186
Gd 0.781 0.219 0.314
Gd 0.219 0.781 0.314
Gd 0.781 0.219 0.686
Gd 0.219 0.781 0.686
Gd 0.281 0.281 0.814
Gd 0.719 0.719 0.814
O 0.787 0.213 0.000
O 0.213 0.787 0.000
O 0.500 0.500 0.095
O 0.500 0.000 0.118
O 0.000 0.500 0.118
O 0.000 0.000 0.135
O 0.678 0.322 0.213
O 0.322 0.678 0.213
O 0.178 0.178 0.287
O 0.822 0.822 0.287
O 0.500 0.500 0.365
O 0.500 0.000 0.382
O 0.000 0.500 0.382
O 0.000 0.000 0.405
O 0.287 0.287 0.500
O 0.713 0.713 0.500
O 0.000 0.000 0.595
O 0.500 0.000 0.618
O 0.000 0.500 0.618
O 0.500 0.500 0.635
O 0.178 0.178 0.713
O 0.822 0.822 0.713
O 0.678 0.322 0.787
O 0.322 0.678 0.787
O 0.000 0.000 0.865
O 0.500 0.000 0.882
O 0.000 0.500 0.882
O 0.500 0.500 0.905
Sc 0.760 0.240 0.105
Sc 0.240 0.760 0.105
Sc 0.260 0.260 0.395
Sc 0.740 0.740 0.395
Sc 0.260 0.260 0.605
Sc 0.740 0.740 0.605
Sc 0.760 0.240 0.895
Sc 0.240 0.760 0.895

Properties
- M_tot: 0.0 Bohr magnetons per cell
- Electronic total energy: -8.27 eV per atom

***

Record 16
Compound: Hf3InN2
Source: the Open Quantum Materials Database
Functional: PBE
Structure: relaxed

Cell: 3.205 3.205 20.237 Å, 90.00 90.00 120.00°
Atoms (fractional coordinates):
Hf 0.000 0.000 0.000
Hf 0.667 0.333 0.128
Hf 0.667 0.333 0.372
Hf 0.000 0.000 0.500
Hf 0.333 0.667 0.628
Hf 0.333 0.667 0.872
In 0.000 0.000 0.250
In 0.000 0.000 0.750
N 0.333 0.667 0.064
N 0.333 0.667 0.436
N 0.667 0.333 0.564
N 0.667 0.333 0.936

Properties
- M_tot: 0.0 Bohr magnetons per cell
- Electronic total energy: -9.46 eV per atom

***

Record 17
Compound: BeGaCoPd
Source: the Open Quantum Materials Database
Functional: PBE
Structure: relaxed

Cell: 4.073 4.073 4.073 Å, 60.00 60.00 60.00°
Atoms (fractional coordinates):
Be 0.500 0.500 0.500
Co 0.750 0.750 0.750
Ga 0.000 0.000 0.000
Pd 0.250 0.250 0.250

Properties
- M_tot: 0.1 Bohr magnetons per cell
- Distance to the lowest polymorph of the same formula: 0.0 meV per atom
- Electronic total energy: -5.12 eV per atom

***

Record 18
Compound: ErMg12
Source: the Open Quantum Materials Database
Functional: PBE
Structure: relaxed

Cell: 7.809 7.809 7.809 Å, 98.14 98.14 135.79°
Atoms (fractional coordinates):
Er 0.000 0.000 0.000
Mg 0.500 0.000 0.000
Mg 0.000 0.500 0.000
Mg 0.710 0.500 0.210
Mg 0.500 0.710 0.210
Mg 0.350 0.000 0.350
Mg 0.000 0.350 0.350
Mg 0.000 0.000 0.500
Mg 0.500 0.500 0.500
Mg 0.650 0.000 0.650
Mg 0.000 0.650 0.650
Mg 0.500 0.290 0.790
Mg 0.290 0.500 0.790

Properties
- M_tot: 0.0 Bohr magnetons per cell
- Electronic total energy: -1.78 eV per atom

***

Record 19
Compound: TmAgPbSe3
Source: the Open Quantum Materials Database
Functional: PBE
Structure: relaxed

Cell: 7.800 4.102 10.039 Å, 90.00 106.23 90.00°
Atoms (fractional coordinates):
Ag 0.910 0.750 0.406
Ag 0.090 0.250 0.594
Pb 0.261 0.250 0.298
Pb 0.739 0.750 0.702
Se 0.430 0.750 0.135
Se 0.942 0.750 0.153
Se 0.706 0.250 0.453
Se 0.294 0.750 0.547
Se 0.058 0.250 0.847
Se 0.570 0.250 0.865
Tm 0.694 0.250 0.159
Tm 0.306 0.750 0.841

Properties
- M_tot: 0.0 Bohr magnetons per cell
- Distance to the lowest polymorph of the same formula: 3.2 meV per atom
- Electronic total energy: -4.54 eV per atom

***

Record 20
Compound: LaMgAg2
Source: the Open Quantum Materials Database
Functional: PBE
Structure: relaxed

Cell: 6.151 7.483 8.198 Å, 90.00 90.00 90.00°
Atoms (fractional coordinates):
Ag 0.588 0.554 0.179
Ag 0.588 0.946 0.179
Ag 0.088 0.054 0.321
Ag 0.088 0.446 0.321
Ag 0.912 0.554 0.679
Ag 0.912 0.946 0.679
Ag 0.412 0.054 0.821
Ag 0.412 0.446 0.821
La 0.160 0.750 0.048
La 0.660 0.250 0.452
La 0.340 0.750 0.548
La 0.840 0.250 0.952
Mg 0.339 0.250 0.112
Mg 0.839 0.750 0.388
Mg 0.161 0.250 0.612
Mg 0.661 0.750 0.888

Properties
- M_tot: 0.0 Bohr magnetons per cell
- Electronic total energy: -3.27 eV per atom